Entry from Alexandria: an optimized crystal structure of TbYHo2 (GGA-PBE).

Output
Size of the total moment ... 0.0000 μB per atom
ΔE_f ... 2 kJ/mol of atoms
Excess energy over the best structure of this formula in the dataset ... 17 meV per atom
DFT total energy ... -5.039 eV/atom
V ... 31.54 Å³/atom
Density of states at the Fermi level ... 5.87 states/eV/cell
SG ... P4/mmm, No. 123

abc: 5.013 5.017 5.017
angles: 90.00 90.00 90.00
Atoms (fractional coordinates):
Ho  0.000  0.000  0.500
Ho  0.000  0.500  0.000
Tb  0.500  0.500  0.500
Y  0.500  0.000  0.000

=====

Entry from Alexandria: an optimized crystal structure of Tb2Y5Ho (GGA-PBE).

Output
Size of the total moment ... 0.0000 μB per atom
ΔE_f ... 2 kJ/mol of atoms
DFT total energy ... -5.750 eV/atom
V ... 31.95 Å³/atom
Density of states at the Fermi level ... 20.28 states/eV/cell
SG ... Pbam, No. 55

abc: 5.028 7.129 14.259
angles: 90.00 90.00 90.00
Atoms (fractional coordinates):
Y  0.000  0.999  0.749
Y  0.500  0.750  0.625
Y  0.000  0.500  0.500
Y  0.000  0.000  0.000
Y  0.000  0.001  0.251
Y  0.000  0.501  0.249
Y  0.500  0.250  0.375
Y  0.500  0.750  0.125
Y  0.000  0.499  0.751
Y  0.500  0.250  0.875
Tb  0.500  0.751  0.376
Tb  0.500  0.249  0.624
Tb  0.500  0.251  0.124
Tb  0.500  0.749  0.876
Ho  0.000  0.500  0.000
Ho  0.000  0.000  0.500

=====

Entry from Alexandria: an optimized crystal structure of Tb3Y4Ho5 (GGA-PBE).

Output
Size of the total moment ... 0.0381 μB per atom
ΔE_f ... 23 kJ/mol of atoms
Excess energy over the best structure of this formula in the dataset ... 216 meV per atom
DFT total energy ... -4.982 eV/atom
V ... 32.42 Å³/atom
Density of states at the Fermi level ... 20.09 states/eV/cell
SG ... C2/m, No. 12

abc: 5.875 8.509 9.596
angles: 105.60 72.17 69.81
Atoms (fractional coordinates):
Tb  0.476  0.314  0.733
Tb  0.524  0.686  0.267
Tb  0.000  0.500  0.500
Ho  0.375  0.052  0.199
Ho  0.500  0.500  0.500
Ho  0.787  0.541  0.886
Ho  0.213  0.459  0.114
Ho  0.625  0.948  0.801
Y  0.834  0.954  0.379
Y  0.142  0.778  0.939
Y  0.858  0.222  0.061
Y  0.166  0.046  0.621

=====

Entry from Alexandria: an optimized crystal structure of Tb7YHo12 (GGA-PBE).

Output
Size of the total moment ... 0.0000 μB per atom
ΔE_f ... 29 kJ/mol of atoms
Excess energy over the best structure of this formula in the dataset ... 0 meV per atom
DFT total energy ... -4.392 eV/atom
V ... 32.01 Å³/atom
Density of states at the Fermi level ... 17.60 states/eV/cell
SG ... R-3, No. 148

abc: 8.654 8.654 8.654
angles: 95.02 95.02 95.02
Atoms (fractional coordinates):
Tb  0.914  0.645  0.978
Tb  0.645  0.978  0.914
Tb  0.355  0.022  0.086
Tb  0.978  0.914  0.645
Tb  0.500  0.500  0.500
Tb  0.086  0.355  0.022
Tb  0.022  0.086  0.355
Y  0.000  0.000  0.000
Ho  0.815  0.250  0.686
Ho  0.314  0.185  0.750
Ho  0.250  0.686  0.815
Ho  0.852  0.583  0.518
Ho  0.482  0.148  0.417
Ho  0.417  0.482  0.148
Ho  0.518  0.852  0.583
Ho  0.148  0.417  0.482
Ho  0.686  0.815  0.250
Ho  0.583  0.518  0.852
Ho  0.750  0.314  0.185
Ho  0.185  0.750  0.314

=====

- Look up the ΔE_f of the second one.
  2 kJ/mol of atoms